Crystalline LaSiP2S at its relaxed geometry, computed with GGA-PBE.

Geometry as POSCAR:
```
LaSiP2S
1.0
-3.688 3.167 -2.492
-2.868 0.310 4.639
2.786 4.369 1.431
S P Si La
1 2 1 1
Direct
0.000 0.000 0.500
0.500 0.000 0.000
0.000 0.500 0.000
0.500 0.500 0.500
0.000 0.000 0.000
```

Summary:
Symmetry: No. 123
E above lowest polymorph in kJ per mole of atoms: 132.5
Formation energy from raw total energies in meV/atom: 887



Crystalline La8Ge3RuBr4 at its relaxed geometry, computed with GGA-PBE.

Geometry as POSCAR:
```
La8Ge3RuBr4
1.0
8.740 0.000 0.000
0.000 8.978 0.119
-4.370 -4.397 6.226
La Ru Ge Br
8 1 3 4
Direct
0.245 0.294 0.020
0.235 0.715 0.469
0.775 0.294 0.020
0.755 0.706 0.980
0.225 0.706 0.980
0.765 0.285 0.531
0.741 0.723 0.481
0.259 0.277 0.519
0.000 0.500 0.000
0.000 0.500 0.500
0.500 0.500 0.000
0.500 0.500 0.500
0.000 0.000 0.500
0.500 0.000 0.000
0.500 0.000 0.500
0.000 0.000 0.000
```

Summary:
Symmetry: No. 12
Formation energy from raw total energies in meV/atom: -1139



Crystalline HfTl2SnTe4 at its relaxed geometry, computed with GGA-PBE.

Geometry as POSCAR:
```
HfTl2SnTe4
1.0
-0.075 -4.309 -0.502
7.569 -0.325 1.662
-4.061 -0.773 7.245
Te Tl Hf Sn
4 2 1 1
Direct
0.000 0.717 0.202
0.500 0.740 0.790
0.000 0.283 0.798
0.500 0.260 0.210
0.000 0.500 0.500
0.500 0.000 0.500
0.500 0.500 0.000
0.000 0.000 0.000
```

Summary:
Symmetry: No. 10
Formation energy from raw total energies in meV/atom: -497



Crystalline TbCe5Pb5 at its relaxed geometry, computed with GGA-PBE.

Geometry as POSCAR:
```
TbCe5Pb5
1.0
6.404 0.000 0.000
-3.202 7.221 -0.004
0.000 -2.707 8.432
Ce Pb Tb
5 5 1
Direct
0.665 0.330 0.831
0.665 0.330 0.335
0.000 0.000 0.500
0.335 0.670 0.665
0.335 0.670 0.169
0.167 0.334 0.831
0.165 0.331 0.334
0.833 0.666 0.169
0.500 0.000 0.000
0.835 0.669 0.666
0.000 0.000 0.000
```

Summary:
Symmetry: No. 12
Formation energy from the elements in eV/atom: -0.17



Crystalline ErSi2IrRh2 at its relaxed geometry, computed with GGA-PBE.

Geometry as POSCAR:
```
ErSi2IrRh2
1.0
-3.195 -2.437 1.973
-0.148 -2.697 -3.570
3.851 -3.214 2.268
Rh Si Ir Er
2 2 1 1
Direct
0.500 0.500 0.251
0.500 0.500 0.749
0.500 0.000 0.000
0.000 0.500 0.000
0.000 0.000 0.000
0.000 0.000 0.500
```

Summary:
Symmetry: No. 123
Formation energy from raw total energies in meV/atom: -352



Crystalline Zn2HRuPt at its relaxed geometry, computed with GGA-PBE.

Geometry as POSCAR:
```
Zn2HRuPt
1.0
4.167 0.000 0.000
0.000 4.167 0.000
0.000 0.000 3.460
Zn Ru H Pt
2 1 1 1
Direct
0.500 0.000 0.000
0.000 0.500 0.000
0.000 0.000 0.500
0.000 0.000 0.000
0.500 0.500 0.500
```

Summary:
Calculated total energy in eV per atom: -4.3886
Symmetry: No. 123



Crystalline DyScAl2Au4 at its relaxed geometry, computed with GGA-PBE.

Geometry as POSCAR:
```
DyScAl2Au4
1.0
4.632 0.000 0.000
2.316 4.012 0.000
2.316 1.337 8.203
Dy Au Al Sc
1 4 2 1
Direct
0.000 0.000 0.000
0.613 0.613 0.161
0.874 0.874 0.377
0.126 0.126 0.623
0.387 0.387 0.839
0.755 0.755 0.734
0.245 0.245 0.266
0.500 0.500 0.500
```

Summary:
Symmetry: No. 166
Formation energy from the elements in eV/atom: -0.71



Crystalline Nb2HPdW at its relaxed geometry, computed with GGA-PBE.

Geometry as POSCAR:
```
Nb2HPdW
1.0
-4.026 -0.185 1.389
0.098 -4.253 -0.281
1.262 -0.211 3.631
Nb Pd W H
2 1 1 1
Direct
0.000 0.500 0.000
0.500 0.000 0.000
0.500 0.500 0.500
0.000 0.000 0.500
0.000 0.000 0.000
```

Summary:
Symmetry: No. 123
E above lowest polymorph in kJ per mole of atoms: 2.0



Crystalline NiSbPbI2 at its relaxed geometry, computed with GGA-PBE.

Geometry as POSCAR:
```
NiSbPbI2
1.0
5.318 0.000 0.000
0.000 5.318 0.000
0.000 0.000 5.140
I Sb Ni Pb
2 1 1 1
Direct
0.000 0.500 0.000
0.500 0.000 0.000
0.000 0.000 0.500
0.000 0.000 0.000
0.500 0.500 0.500
```

Summary:
Symmetry: No. 123
E above lowest polymorph in kJ per mole of atoms: 0.0
Formation energy from raw total energies in meV/atom: 149



Crystalline La2Ho5Er2 at its relaxed geometry, computed with GGA-PBE.

Geometry as POSCAR:
```
La2Ho5Er2
1.0
3.413 0.000 -0.704
-0.479 7.899 -2.323
0.728 -2.941 12.155
Ho Er La
5 2 2
Direct
0.000 0.000 0.000
0.309 0.154 0.618
0.691 0.846 0.382
0.906 0.542 0.812
0.094 0.458 0.188
0.454 0.264 0.907
0.546 0.736 0.093
0.820 0.784 0.641
0.180 0.216 0.359
```

Summary:
Symmetry: No. 12
Formation energy from the elements in eV/atom: 0.21



Crystalline LaTbLuAl at its relaxed geometry, computed with GGA-PBE.

Geometry as POSCAR:
```
LaTbLuAl
1.0
-4.545 2.339 -1.789
-2.562 -2.016 -4.324
-4.758 -2.516 0.601
La Lu Al Tb
1 1 1 1
Direct
0.000 0.000 0.000
0.750 0.750 0.750
0.250 0.250 0.250
0.500 0.500 0.500
```

Summary:
Symmetry: No. 216
Formation energy from the elements in eV/atom: -0.08



Crystalline Tb2Pr5Sm6 at its relaxed geometry, computed with GGA-PBE.

Geometry as POSCAR:
```
Tb2Pr5Sm6
1.0
-0.166 -1.142 -3.474
10.221 -5.818 1.423
-10.541 -17.026 6.100
Sm Pr Tb
12 10 4
Direct
0.000 0.062 0.080
0.000 0.419 0.868
0.000 0.581 0.132
0.500 0.176 0.637
0.000 0.919 0.632
0.500 0.824 0.363
0.500 0.676 0.863
0.000 0.438 0.580
0.500 0.324 0.137
0.000 0.081 0.368
0.000 0.562 0.420
0.000 0.938 0.920
0.500 0.084 0.226
0.500 0.198 0.947
0.500 0.302 0.447
0.500 0.584 0.274
0.500 0.916 0.774
0.500 0.000 0.500
0.500 0.416 0.726
0.500 0.500 0.000
0.500 0.698 0.553
0.500 0.802 0.053
0.000 0.673 0.712
0.000 0.173 0.788
0.000 0.827 0.212
0.000 0.327 0.288
```

Summary:
Symmetry: No. 55
Formation energy from the elements in eV/atom: 0.09